(1)
The following is a DFT calculation (PBE+U) of BiMoNO2 after structural relaxation.

Calculated values
Energy ... -31.8 eV/f.u.

a b c (Å): 4.087 4.087 4.054
angles (deg): 90.00 90.00 90.00
Space group P4/mmm (No. 123)
Asymmetric unit:
Bi: 0.000 0.000 0.000
Mo: 0.500 0.500 0.500
N: 0.500 0.500 0.000
O: 0.000 0.500 0.500


(2)
The following is a DFT calculation (PBE+U) of BiMoNO2 after structural relaxation.

Calculated values
Energy ... -27.1 eV/f.u.

a b c (Å): 4.189 4.189 4.378
angles (deg): 90.00 90.00 90.00
Space group P4/mmm (No. 123)
Asymmetric unit:
Bi: 0.000 0.000 0.000
Mo: 0.500 0.500 0.500
N: 0.000 0.000 0.500
O: 0.000 0.500 0.000